(1)
NiPb2: relaxed, GGA-PBE.

```
NiPb2
1.0
5.2731 0.0000 0.0000
-2.6365 4.5666 0.0000
0.0000 0.0000 3.1062
Ni Pb
1 2
Direct
0.0000 0.0000 0.0000
0.3333 0.6667 0.5000
0.6667 0.3333 0.5000
```

Values from the calculation:
Crystal system ... hexagonal
N(E_F) ... 1.261 states/eV per atom
Space-group type ... P6/mmm


(2)
BaLa2TlI: relaxed, GGA-PBE.

```
BaLa2TlI
1.0
6.0357 0.0000 0.0000
0.0000 6.0357 0.0000
0.0000 0.0000 6.3239
Ba La Tl I
1 2 1 1
Direct
0.0000 0.0000 0.0000
0.0000 0.5000 0.5000
0.5000 0.0000 0.5000
0.5000 0.5000 0.0000
0.5000 0.5000 0.5000
```

Values from the calculation:
Crystal system ... tetragonal
N(E_F) ... 1.190 states/eV per atom
Formation energy (no corrections) ... -0.34 eV per formula unit
Space-group type ... P4/mmm


(3)
Pr6Nd2DyY3: relaxed, GGA-PBE.

```
Pr6Nd2DyY3
1.0
3.1782 -5.5066 0.0000
3.1782 5.5066 0.0000
-2.1153 0.0000 11.8495
Pr Nd Dy Y
6 2 1 3
Direct
0.0839 0.4163 0.7517
0.2485 0.2485 0.2480
0.4163 0.0839 0.7517
0.5837 0.9161 0.2483
0.7515 0.7515 0.7520
0.9161 0.5837 0.2483
0.3332 0.6668 0.5000
0.6668 0.3332 0.5000
0.0000 0.0000 0.5000
0.1665 0.8335 0.0000
0.5000 0.5000 0.0000
0.8335 0.1665 0.0000
```

Values from the calculation:
Crystal system ... monoclinic
N(E_F) ... 1.274 states/eV per atom
Space-group type ... C2/m


(4)
Pa3AgN2O6: relaxed, GGA-PBE.

```
Pa3AgN2O6
1.0
5.6068 -3.6164 0.0000
5.6068 3.6164 0.0000
-0.1917 0.0000 4.9495
Pa Ag N O
3 1 2 6
Direct
0.0000 0.0000 0.0000
0.0000 0.5000 0.5000
0.5000 0.0000 0.5000
0.5000 0.5000 0.5000
0.1652 0.1652 0.7270
0.8348 0.8348 0.2730
0.1177 0.6943 0.7601
0.3057 0.8823 0.2399
0.3238 0.3238 0.3173
0.6762 0.6762 0.6827
0.6943 0.1177 0.7601
0.8823 0.3057 0.2399
```

Values from the calculation:
Crystal system ... monoclinic
N(E_F) ... 0.578 states/eV per atom
Formation energy (no corrections) ... -26.51 eV per formula unit
Space-group type ... C2/m


| no. | final energy (eV/atom) |
| --- | --- |
| 1 | -3.72 |
| 2 | -3.21 |
| 3 | -5.17 |
| 4 | -8.69 |